# CePuHgO6 PBE optimized geometry
data_CePuHgO6
_chemical_formula_sum 'Ce2 Pu2 Hg2 O12'
_symmetry_space_group_name_H-M 'P 1'
_symmetry_Int_Tables_number 1
_cell_length_a 5.918
_cell_length_b 5.918
_cell_length_c 9.323
_cell_angle_alpha 90.00
_cell_angle_beta 90.00
_cell_angle_gamma 120.00
loop_
_symmetry_equiv_pos_as_xyz
'x,y,z'
loop_
_atom_site_label
_atom_site_type_symbol
_atom_site_fract_x
_atom_site_fract_y
_atom_site_fract_z
Ce1 Ce 0.333 0.667 0.250
Ce2 Ce 0.667 0.333 0.750
Pu1 Pu 0.333 0.667 0.750
Pu2 Pu 0.667 0.333 0.250
Hg1 Hg 0.000 0.000 0.000
Hg2 Hg 0.000 0.000 0.500
O1 O 0.026 0.374 0.638
O2 O 0.026 0.652 0.862
O3 O 0.348 0.374 0.862
O4 O 0.348 0.974 0.638
O5 O 0.374 0.026 0.138
O6 O 0.374 0.348 0.362
O7 O 0.626 0.652 0.638
O8 O 0.626 0.974 0.862
O9 O 0.652 0.026 0.362
O10 O 0.652 0.626 0.138
O11 O 0.974 0.348 0.138
O12 O 0.974 0.626 0.362
# **Space-group type**: No. 163
# **Total DFT energy (no corrections)**: -139.85 eV per cell
# **Total moment**: 0.2226 μB per atom